No. 1
The following is a PBE calculation of a geometry-optimized CaScNO2 structure, from Alexandria via LeMat-Bulk.

Results
Raw formation energy in kJ/mol of atoms: -164
Electronic total energy in eV/atom: -7.02

Unit cell a=4.105 b=4.105 c=4.193 alpha=90.00 beta=90.00 gamma=90.00
Space group P4/mmm (No. 123)
Inequivalent atoms, fractional coordinates:
1 Ca 0.000 0.000 0.000 (multiplicity 1)
2 Sc 0.500 0.500 0.500 (multiplicity 1)
3 N 0.500 0.500 0.000 (multiplicity 1)
4 O 0.000 0.500 0.500 (multiplicity 2)

---

No. 2
The following is a PBE calculation of a geometry-optimized Li3HW structure, from Alexandria via LeMat-Bulk.

Results
Electronic total energy in eV/atom: -2.60

Unit cell a=5.412 b=5.412 c=5.412 alpha=90.00 beta=90.00 gamma=90.00
Space group Pm-3m (No. 221)
Inequivalent atoms, fractional coordinates:
1 Li 0.000 0.000 0.500 (multiplicity 3)
2 H 0.500 0.500 0.500 (multiplicity 1)
3 W 0.000 0.000 0.000 (multiplicity 1)

---

Which formula does entry 1 have?
CaScNO2